First-principles (PBE) data for TbGeBr2 after structural relaxation, as listed in the Alexandria database.

Space group = R-3m
Formation energy from raw total energies = -0.31 eV per atom
Magnetization = 0.00 Bohr magnetons per cell

Unit cell a=10.437 b=10.437 c=10.437 alpha=20.29 beta=20.29 gamma=20.29
Fractional coordinates of all 4 atoms:
Tb  0.000  0.000  0.000
Ge  0.500  0.500  0.500
Br  0.089  0.089  0.089
Br  0.911  0.911  0.911


First-principles (PBE) data for Tb7GeBr12 after structural relaxation, as listed in the Alexandria database.

Space group = R-3
Formation energy from raw total energies = -1.61 eV per atom
Magnetization = 0.00 Bohr magnetons per cell

Unit cell a=9.196 b=9.196 c=9.196 alpha=107.92 beta=107.92 gamma=107.92
Fractional coordinates of all 20 atoms:
Tb  0.000  0.000  0.000
Tb  0.174  0.390  0.465
Tb  0.390  0.465  0.174
Tb  0.465  0.174  0.390
Tb  0.535  0.826  0.610
Tb  0.610  0.535  0.826
Tb  0.826  0.610  0.535
Ge  0.500  0.500  0.500
Br  0.030  0.341  0.110
Br  0.110  0.030  0.341
Br  0.189  0.728  0.578
Br  0.272  0.422  0.811
Br  0.341  0.110  0.030
Br  0.422  0.811  0.272
Br  0.578  0.189  0.728
Br  0.659  0.890  0.970
Br  0.728  0.578  0.189
Br  0.811  0.272  0.422
Br  0.890  0.970  0.659
Br  0.970  0.659  0.890


First-principles (PBE) data for Tb3GeBr3 after structural relaxation, as listed in the Alexandria database.

Space group = I4_132
Formation energy from raw total energies = -1.41 eV per atom
Magnetization = 0.00 Bohr magnetons per cell

Unit cell a=10.126 b=10.126 c=10.126 alpha=109.47 beta=109.47 gamma=109.47
Fractional coordinates of all 28 atoms:
Tb  0.011  0.022  0.261
Tb  0.011  0.489  0.750
Tb  0.022  0.261  0.011
Tb  0.239  0.261  0.750
Tb  0.239  0.478  0.489
Tb  0.261  0.011  0.022
Tb  0.261  0.750  0.239
Tb  0.478  0.489  0.239
Tb  0.489  0.239  0.478
Tb  0.489  0.750  0.011
Tb  0.750  0.011  0.489
Tb  0.750  0.239  0.261
Ge  0.000  0.250  0.500
Ge  0.250  0.250  0.250
Ge  0.250  0.500  0.000
Ge  0.500  0.000  0.250
Br  0.250  0.755  0.745
Br  0.250  0.995  0.505
Br  0.505  0.250  0.995
Br  0.505  0.755  0.509
Br  0.509  0.505  0.755
Br  0.745  0.250  0.755
Br  0.745  0.995  0.991
Br  0.755  0.509  0.505
Br  0.755  0.745  0.250
Br  0.991  0.745  0.995
Br  0.995  0.505  0.250
Br  0.995  0.991  0.745


First-principles (PBE) data for Tb3Ge2Br2 after structural relaxation, as listed in the Alexandria database.

Space group = P-1
Formation energy from raw total energies = -1.03 eV per atom
Magnetization = 0.00 Bohr magnetons per cell

Unit cell a=4.070 b=7.210 c=7.577 alpha=78.55 beta=89.97 gamma=73.69
Fractional coordinates of all 7 atoms:
Tb  0.000  0.000  0.000
Tb  0.242  0.515  0.772
Tb  0.758  0.485  0.228
Ge  0.380  0.240  0.118
Ge  0.620  0.760  0.882
Br  0.136  0.728  0.375
Br  0.864  0.272  0.625


First-principles (PBE) data for TbGeBr5 after structural relaxation, as listed in the Alexandria database.

Space group = C2/c
Formation energy from raw total energies = -1.25 eV per atom
Magnetization = 0.00 Bohr magnetons per cell

Unit cell a=7.382 b=7.382 c=10.869 alpha=108.94 beta=108.94 gamma=85.18
Fractional coordinates of all 14 atoms:
Tb  0.000  0.500  0.000
Tb  0.500  0.000  0.500
Ge  0.077  0.923  0.750
Ge  0.923  0.077  0.250
Br  0.172  0.633  0.846
Br  0.208  0.264  0.496
Br  0.249  0.751  0.250
Br  0.264  0.208  0.996
Br  0.367  0.828  0.654
Br  0.633  0.172  0.346
Br  0.736  0.792  0.004
Br  0.751  0.249  0.750
Br  0.792  0.736  0.504
Br  0.828  0.367  0.154


First-principles (PBE) data for TbTlGeBr6 after structural relaxation, as listed in the Alexandria database.

Space group = P312
Formation energy from raw total energies = -1.23 eV per atom
Magnetization = 0.00 Bohr magnetons per cell

Unit cell a=7.328 b=7.328 c=7.290 alpha=90.00 beta=90.00 gamma=120.00
Fractional coordinates of all 9 atoms:
Tb  0.000  0.000  0.000
Tl  0.333  0.667  0.500
Ge  0.667  0.333  0.000
Br  0.333  0.035  0.222
Br  0.333  0.298  0.778
Br  0.702  0.035  0.778
Br  0.702  0.667  0.222
Br  0.965  0.298  0.222
Br  0.965  0.667  0.778


First-principles (PBE) data for Tc2Ge2Br after structural relaxation, as listed in the Alexandria database.

Space group = I4/mmm
Formation energy from raw total energies = 0.45 eV per atom
Magnetization = 0.00 Bohr magnetons per cell
Relative energy among the computed polymorphs = 227 meV/atom

Unit cell a=6.880 b=6.880 c=6.880 alpha=148.71 beta=148.71 gamma=44.84
Fractional coordinates of all 5 atoms:
Tc  0.112  0.112  0.000
Tc  0.888  0.888  0.000
Ge  0.250  0.750  0.500
Ge  0.750  0.250  0.500
Br  0.500  0.500  0.000


First-principles (PBE) data for Tc2Ge2Br after structural relaxation, as listed in the Alexandria database.

Space group = P4/mbm
Formation energy from raw total energies = 0.22 eV per atom
Magnetization = 1.72 Bohr magnetons per cell
Relative energy among the computed polymorphs = 0 meV/atom

Unit cell a=7.301 b=7.301 c=3.121 alpha=90.00 beta=90.00 gamma=90.00
Fractional coordinates of all 10 atoms:
Tc  0.148  0.352  0.000
Tc  0.352  0.852  0.000
Tc  0.648  0.148  0.000
Tc  0.852  0.648  0.000
Ge  0.141  0.641  0.500
Ge  0.359  0.141  0.500
Ge  0.641  0.859  0.500
Ge  0.859  0.359  0.500
Br  0.000  0.000  0.000
Br  0.500  0.500  0.000


First-principles (PBE) data for TcGe2Br after structural relaxation, as listed in the Alexandria database.

Space group = Fm-3m
Formation energy from raw total energies = 0.88 eV per atom
Magnetization = 2.26 Bohr magnetons per cell
Relative energy among the computed polymorphs = 423 meV/atom

Unit cell a=4.790 b=4.790 c=4.790 alpha=60.00 beta=60.00 gamma=60.00
Fractional coordinates of all 4 atoms:
Tc  0.000  0.000  0.000
Ge  0.250  0.250  0.250
Ge  0.750  0.750  0.750
Br  0.500  0.500  0.500


First-principles (PBE) data for TcGe2Br after structural relaxation, as listed in the Alexandria database.

Space group = I-42d
Formation energy from raw total energies = 0.46 eV per atom
Magnetization = 0.00 Bohr magnetons per cell
Relative energy among the computed polymorphs = 0 meV/atom

Unit cell a=7.374 b=7.374 c=7.374 alpha=131.36 beta=131.36 gamma=71.25
Fractional coordinates of all 8 atoms:
Tc  0.000  0.000  0.000
Tc  0.750  0.250  0.500
Ge  0.044  0.625  0.919
Ge  0.375  0.294  0.419
Ge  0.706  0.125  0.081
Ge  0.875  0.956  0.581
Br  0.250  0.750  0.500
Br  0.500  0.500  0.000


First-principles (PBE) data for GeTe2Br after structural relaxation, as listed in the Alexandria database.

Space group = R-3m
Formation energy from raw total energies = 0.01 eV per atom
Magnetization = 0.00 Bohr magnetons per cell
Relative energy among the computed polymorphs = 146 meV/atom

Unit cell a=9.131 b=9.131 c=9.131 alpha=26.41 beta=26.41 gamma=26.41
Fractional coordinates of all 4 atoms:
Ge  0.000  0.000  0.000
Te  0.394  0.394  0.394
Te  0.606  0.606  0.606
Br  0.500  0.500  0.500


First-principles (PBE) data for GeTeBr2 after structural relaxation, as listed in the Alexandria database.

Space group = P2_1/c
Formation energy from raw total energies = -0.38 eV per atom
Magnetization = 0.00 Bohr magnetons per cell
Relative energy among the computed polymorphs = 0 meV/atom

Unit cell a=6.706 b=6.198 c=18.814 alpha=90.00 beta=110.75 gamma=90.00
Fractional coordinates of all 16 atoms:
Ge  0.071  0.000  0.322
Ge  0.071  0.500  0.822
Ge  0.929  0.000  0.678
Ge  0.929  0.500  0.178
Te  0.248  0.250  0.250
Te  0.248  0.250  0.750
Te  0.752  0.750  0.250
Te  0.752  0.750  0.750
Br  0.073  0.692  0.101
Br  0.073  0.808  0.601
Br  0.369  0.692  0.900
Br  0.369  0.808  0.400
Br  0.631  0.192  0.600
Br  0.631  0.308  0.100
Br  0.927  0.192  0.399
Br  0.927  0.308  0.899